Entry 1:
TaNbAsSe2: optimized geometry, GGA-PBE.

Cell: 4.940 4.940 5.030 Å, 90.00 90.00 90.00°
Last column: magnetic moment on the atom in μB.
Atoms (fractional coordinates):
As 0.000 0.000 0.500  -0.13
Nb 0.000 0.000 0.000  0.35
Se 0.500 0.000 0.000  -0.12
Se 0.000 0.500 0.000  -0.12
Ta 0.500 0.500 0.500  1.90

Computed properties:
The uncorrected energy comes out at -5.921 eV/atom. The calculation puts the energy relative to the lowest polymorph listed for this composition at 247.3 meV/atom. The formation energy from raw total energies is 787 meV/atom.

Entry 2:
NbTcAs2Se: optimized geometry, GGA-PBE.

Cell: 5.024 5.024 4.944 Å, 90.00 90.00 90.00°
Last column: magnetic moment on the atom in μB.
Atoms (fractional coordinates):
As 0.500 0.000 0.000  -0.11
As 0.000 0.500 0.000  -0.11
Se 0.000 0.000 0.500  -0.05
Tc 0.500 0.500 0.500  3.66
Nb 0.000 0.000 0.000  0.29

Computed properties:
The uncorrected energy comes out at -5.787 eV/atom. The calculation puts the energy relative to the lowest polymorph listed for this composition at 76.6 meV/atom. The formation energy from raw total energies is 857 meV/atom.

Entry 3:
NbTcAs2Se: optimized geometry, GGA-PBE.

Cell: 4.665 4.665 5.214 Å, 90.00 90.00 90.00°
Last column: magnetic moment on the atom in μB.
Atoms (fractional coordinates):
As 0.000 0.500 0.000  -0.08
As 0.500 0.000 0.000  -0.08
Se 0.000 0.000 0.500  -0.13
Nb 0.500 0.500 0.500  2.38
Tc 0.000 0.000 0.000  0.49

Computed properties:
The uncorrected energy comes out at -5.864 eV/atom. The calculation puts the energy relative to the lowest polymorph listed for this composition at 0.0 meV/atom. The formation energy from raw total energies is 780 meV/atom.